First-principles (meta-GGA SCAN) data for a PBEsol-optimized structure of MnTlNF2, as listed in Alexandria.

Lattice parameters (Å, degrees): 4.3946 4.3946 4.1837 90.00 90.00 90.00
Last column: nearest neighbours and their distance in Å.
Space group P4/mmm (No. 123)
Unique sites:
1 Mn 0.0000 0.0000 0.0000 (multiplicity 1)  8 F 3.03, 4 N 3.11
2 Tl 0.5000 0.5000 0.5000 (multiplicity 1)  2 N 2.09, 4 F 2.20
3 N 0.5000 0.5000 0.0000 (multiplicity 1)  2 Tl 2.09
4 F 0.0000 0.5000 0.5000 (multiplicity 2)  2 Tl 2.20

Size of the total moment, μB/f.u.: 4.976
Energy, eV/atom: -21.701
Volume, Å³/atom: 16.2
ρ, g/cm³: 6.4
E_form (uncorrected), eV/atom: -0.304

***

First-principles (meta-GGA SCAN) data for a PBEsol-optimized structure of NaTa2Ti, as listed in Alexandria.

Lattice parameters (Å, degrees): 6.5526 6.5526 6.5526 90.00 90.00 90.00
Last column: nearest neighbours and their distance in Å.
Space group Fm-3m (No. 225)
Unique sites:
1 Na 0.0000 0.0000 0.0000 (multiplicity 4)  8 Ta 2.84
2 Ta 0.2500 0.2500 0.2500 (multiplicity 8)  4 Na 2.84, 4 Ti 2.84
3 Ti 0.0000 0.0000 0.5000 (multiplicity 4)  8 Ta 2.84

Energy of formation, eV per atom: 0.97
Size of the total moment, μB/f.u.: 0.002
Energy, eV/atom: -37.385
Volume, Å³/atom: 17.6
ρ, g/cm³: 10.2

***

First-principles (meta-GGA SCAN) data for a PBEsol-optimized structure of AsIrOs2, as listed in Alexandria.

Lattice parameters (Å, degrees): 2.8393 2.8393 6.9983 90.00 90.00 90.00
Last column: nearest neighbours and their distance in Å.
Space group P4/mmm (No. 123)
Unique sites:
1 As 0.0000 0.0000 0.0000 (multiplicity 1)  8 Os 2.60, 4 As 2.84
2 Ir 0.0000 0.0000 0.5000 (multiplicity 1)  8 Os 2.73, 4 Ir 2.84
3 Os 0.5000 0.5000 0.2363 (multiplicity 2)  4 As 2.60, 4 Ir 2.73, 4 Os 2.84

Energy of formation, eV per atom: 0.43
Size of the total moment, μB/f.u.: 0.000
Energy, eV/atom: -58.336
Volume, Å³/atom: 14.1
ρ, g/cm³: 19.1

***

First-principles (meta-GGA SCAN) data for a PBEsol-optimized structure of HfSc3Zn, as listed in Alexandria.

Lattice parameters (Å, degrees): 4.9375 4.9375 4.9375 90.00 90.00 90.00
Last column: nearest neighbours and their distance in Å.
Space group Pm-3m (No. 221)
Unique sites:
1 Hf 0.0000 0.0000 0.0000 (multiplicity 1)  12 Sc 3.49
2 Sc 0.0000 0.5000 0.5000 (multiplicity 3)  2 Zn 2.47
3 Zn 0.5000 0.5000 0.5000 (multiplicity 1)  6 Sc 2.47

Energy of formation, eV per atom: 0.43
Size of the total moment, μB/f.u.: 1.109
Energy, eV/atom: -23.347
Volume, Å³/atom: 24.1
ρ, g/cm³: 5.2

***

First-principles (meta-GGA SCAN) data for a PBEsol-optimized structure of LaTaO2F, as listed in Alexandria.

Lattice parameters (Å, degrees): 4.0468 4.0468 4.1715 90.00 90.00 90.00
Last column: nearest neighbours and their distance in Å.
Space group P4/mmm (No. 123)
Unique sites:
1 La 0.0000 0.0000 0.0000 (multiplicity 1)  4 F 2.86, 8 O 2.91
2 Ta 0.5000 0.5000 0.5000 (multiplicity 1)  4 O 2.02, 2 F 2.09
3 O 0.0000 0.5000 0.5000 (multiplicity 2)  2 Ta 2.02
4 F 0.5000 0.5000 0.0000 (multiplicity 1)  2 Ta 2.09

Size of the total moment, μB/f.u.: 0.000
Energy, eV/atom: -27.587
Volume, Å³/atom: 13.7
ρ, g/cm³: 9.0
E_form (uncorrected), eV/atom: -2.449

***

First-principles (meta-GGA SCAN) data for a PBEsol-optimized structure of MgCu2Br, as listed in Alexandria.

Lattice parameters (Å, degrees): 8.7846 3.6263 5.1508 90.00 96.69 90.00
Last column: nearest neighbours and their distance in Å.
Space group C2/m (No. 12)
Unique sites:
1 Mg 0.0000 0.0000 0.0000 (multiplicity 2)  6 Cu 2.65
2 Cu 0.1993 0.5000 0.8734 (multiplicity 4)  2 Cu 2.35, 1 Br 2.45
3 Br 0.0000 0.5000 0.5000 (multiplicity 2)  2 Cu 2.45

Size of the total moment, μB/f.u.: 0.000
Energy, eV/atom: -13.706
Volume, Å³/atom: 20.4
ρ, g/cm³: 4.7
E_form (uncorrected), eV/atom: 0.002

***

First-principles (meta-GGA SCAN) data for a PBEsol-optimized structure of LaAg2RuS, as listed in Alexandria.

Lattice parameters (Å, degrees): 5.4392 5.4392 5.1655 90.00 90.00 90.00
Last column: nearest neighbours and their distance in Å.
Space group P4/mmm (No. 123)
Unique sites:
1 La 0.0000 0.0000 0.0000 (multiplicity 1)  2 S 2.58, 4 Ag 2.72
2 Ag 0.0000 0.5000 0.0000 (multiplicity 2)  2 La 2.72
3 Ru 0.5000 0.5000 0.5000 (multiplicity 1)  8 Ag 3.75, 4 S 3.85
4 S 0.0000 0.0000 0.5000 (multiplicity 1)  2 La 2.58

Size of the total moment, μB/f.u.: 3.224
Energy, eV/atom: -28.886
Volume, Å³/atom: 30.6
ρ, g/cm³: 5.3
E_form (uncorrected), eV/atom: 1.172

***

First-principles (meta-GGA SCAN) data for a PBEsol-optimized structure of SrLa4Cu, as listed in Alexandria.

Lattice parameters (Å, degrees): 9.2589 9.2589 9.2589 90.00 90.00 90.00
Last column: nearest neighbours and their distance in Å.
Space group F-43m (No. 216)
Unique sites:
1 Sr 0.0000 0.0000 0.0000 (multiplicity 4)  12 La 3.85, 4 Cu 4.01
2 La 0.1211 0.1211 0.6211 (multiplicity 16)  6 La 3.17-3.38
3 Cu 0.2500 0.2500 0.2500 (multiplicity 4)  12 La 3.83, 4 Sr 4.01

Energy of formation, eV per atom: 0.52
Size of the total moment, μB/f.u.: 0.000
Energy, eV/atom: -34.463
Volume, Å³/atom: 33.1
ρ, g/cm³: 5.9

***

First-principles (meta-GGA SCAN) data for a PBEsol-optimized structure of TlSiHgRu2, as listed in Alexandria.

Lattice parameters (Å, degrees): 4.9896 4.9896 5.1371 90.00 90.00 90.00
Last column: nearest neighbours and their distance in Å.
Space group P4/mmm (No. 123)
Unique sites:
1 Tl 0.0000 0.0000 0.0000 (multiplicity 1)  2 Hg 2.57
2 Si 0.5000 0.5000 0.0000 (multiplicity 1)  4 Tl 3.53, 8 Ru 3.58
3 Hg 0.0000 0.0000 0.5000 (multiplicity 1)  4 Ru 2.49, 2 Tl 2.57
4 Ru 0.0000 0.5000 0.5000 (multiplicity 2)  2 Hg 2.49

Size of the total moment, μB/f.u.: 4.643
Energy, eV/atom: -41.937
Volume, Å³/atom: 25.6
ρ, g/cm³: 8.2
E_form (uncorrected), eV/atom: 2.101

***

First-principles (meta-GGA SCAN) data for a PBEsol-optimized structure of CdFe2Si, as listed in Alexandria.

Lattice parameters (Å, degrees): 7.8572 2.6460 5.3055 90.00 100.17 90.00
Last column: nearest neighbours and their distance in Å.
Space group C2/m (No. 12)
Unique sites:
1 Cd 0.0000 0.0000 0.0000 (multiplicity 2)  2 Cd 2.65, 6 Fe 2.67-2.73
2 Fe 0.2369 0.0000 0.6971 (multiplicity 4)  3 Si 2.37-2.48, 4 Fe 2.51-2.65
3 Si 0.0000 0.5000 0.5000 (multiplicity 2)  6 Fe 2.37-2.48, 2 Si 2.65

Size of the total moment, μB/f.u.: 4.429
Energy, eV/atom: -18.925
Volume, Å³/atom: 13.6
ρ, g/cm³: 7.7
E_form (uncorrected), eV/atom: 0.248

***

First-principles (meta-GGA SCAN) data for a PBEsol-optimized structure of CsGa2Sn2, as listed in Alexandria.

Lattice parameters (Å, degrees): 5.0252 5.0252 11.0613 90.00 90.00 90.00
Last column: nearest neighbours and their distance in Å.
Space group I4/mmm (No. 139)
Unique sites:
1 Cs 0.0000 0.0000 0.0000 (multiplicity 2)  8 Ga 3.74, 10 Sn 3.84-4.07
2 Ga 0.0000 0.5000 0.2500 (multiplicity 4)  4 Sn 2.83
3 Sn 0.0000 0.0000 0.3676 (multiplicity 4)  4 Ga 2.83, 1 Sn 2.93

Energy of formation, eV per atom: -0.19
Size of the total moment, μB/f.u.: 0.000
Energy, eV/atom: -28.661
Volume, Å³/atom: 27.9
ρ, g/cm³: 6.1

***

First-principles (meta-GGA SCAN) data for a PBEsol-optimized structure of Ag2RuAu, as listed in Alexandria.

Lattice parameters (Å, degrees): 4.8450 4.8450 2.7230 90.00 90.00 90.00
Last column: nearest neighbours and their distance in Å.
Space group P4/mmm (No. 123)
Unique sites:
1 Ag 0.0000 0.5000 0.0000 (multiplicity 2)  2 Ag 2.72, 4 Ru 2.78, 4 Au 2.78
2 Ru 0.0000 0.0000 0.5000 (multiplicity 1)  2 Ru 2.72, 8 Ag 2.78
3 Au 0.5000 0.5000 0.5000 (multiplicity 1)  2 Au 2.72, 8 Ag 2.78

Energy of formation, eV per atom: 0.50
Size of the total moment, μB/f.u.: 0.000
Energy, eV/atom: -41.183
Volume, Å³/atom: 16.0
ρ, g/cm³: 13.3

***

First-principles (meta-GGA SCAN) data for a PBEsol-optimized structure of La2Cu2O5, as listed in Alexandria.

Lattice parameters (Å, degrees): 6.5633 6.5633 5.5217 90.00 90.00 90.00
Last column: nearest neighbours and their distance in Å.
Space group P4_2/m (No. 84)
Unique sites:
1 La 0.1100 0.2677 0.0000 (multiplicity 4)  6 O 2.35-2.60
2 Cu 0.3142 0.4115 0.5000 (multiplicity 4)  4 O 1.96-1.97
3 O 0.0000 0.0000 0.2500 (multiplicity 2)  4 La 2.35
4 O 0.2137 0.5922 0.2408 (multiplicity 8)  2 Cu 1.96-1.97

Size of the total moment, μB/f.u.: 2.003
Energy, eV/atom: -18.849
Volume, Å³/atom: 13.2
ρ, g/cm³: 6.8
E_form (uncorrected), eV/atom: -2.431